# 1
A plane-wave DFT calculation with GGA-PBEsol was carried out for a relaxed Sc2BeAlBr crystal.

Lattice parameters (Å, degrees): 4.947 4.947 4.157 90.00 90.00 90.00
Space group P4/mmm (No. 123)
One atom of each set of equivalent atoms:
Sc 0.000 0.500 0.000 [2 per cell]
Be 0.000 0.000 0.000 [1 per cell]
Al 0.000 0.000 0.500 [1 per cell]
Br 0.500 0.500 0.500 [1 per cell]

Summary:
Energy relative to the elements, uncorrected in eV per atom: -0.05
Calculated volume in Å³ per cell: 101.7
Crystal system: tetragonal
VASP energy in eV per atom: -4.69

***

# 2
A plane-wave DFT calculation with GGA-PBEsol was carried out for a relaxed ZrBeAlBr2 crystal.

Lattice parameters (Å, degrees): 5.260 5.260 4.369 90.00 90.00 90.00
Space group P4/mmm (No. 123)
One atom of each set of equivalent atoms:
Zr 0.000 0.000 0.000 [1 per cell]
Be 0.500 0.500 0.000 [1 per cell]
Al 0.500 0.500 0.500 [1 per cell]
Br 0.000 0.500 0.500 [2 per cell]

Summary:
Energy relative to the elements, uncorrected in eV per atom: 0.67
Calculated volume in Å³ per cell: 120.9
Crystal system: tetragonal
VASP energy in eV per atom: -3.52

***

# 3
A plane-wave DFT calculation with GGA-PBEsol was carried out for a relaxed BeAl2CCl crystal.

Lattice parameters (Å, degrees): 3.728 3.728 6.306 90.00 90.00 90.00
Space group P4/mmm (No. 123)
One atom of each set of equivalent atoms:
Be 0.000 0.000 0.000 [1 per cell]
Al 0.000 0.500 0.500 [2 per cell]
C 0.500 0.500 0.500 [1 per cell]
Cl 0.500 0.500 0.000 [1 per cell]

Summary:
Energy relative to the elements, uncorrected in eV per atom: 0.70
Calculated volume in Å³ per cell: 87.6
Crystal system: tetragonal
VASP energy in eV per atom: -4.06

***

# 4
A plane-wave DFT calculation with GGA-PBEsol was carried out for a relaxed Be2AlSbC crystal.

Lattice parameters (Å, degrees): 4.346 4.346 5.507 90.00 90.00 90.00
Space group P4/mmm (No. 123)
One atom of each set of equivalent atoms:
Be 0.000 0.500 0.000 [2 per cell]
Al 0.000 0.000 0.500 [1 per cell]
Sb 0.000 0.000 0.000 [1 per cell]
C 0.500 0.500 0.500 [1 per cell]

Summary:
Energy relative to the elements, uncorrected in eV per atom: 2.29
Calculated volume in Å³ per cell: 104.0
Crystal system: tetragonal
VASP energy in eV per atom: -2.97

***

# 5
A plane-wave DFT calculation with GGA-PBEsol was carried out for a relaxed CaBeAl2 crystal.

Lattice parameters (Å, degrees): 5.711 9.599 2.765 90.00 109.61 90.00
Space group C2/m (No. 12)
One atom of each set of equivalent atoms:
Ca 0.000 0.000 0.000 [2 per cell]
Be 0.000 0.500 0.000 [2 per cell]
Al 0.250 0.250 0.500 [4 per cell]

Summary:
Calculated volume in Å³ per cell: 142.8
Crystal system: monoclinic
Energy relative to the elements in eV per atom: 0.324
VASP energy in eV per atom: -3.25

***

# 6
A plane-wave DFT calculation with GGA-PBEsol was carried out for a relaxed CaBeAl2 crystal.

Lattice parameters (Å, degrees): 3.394 4.155 5.535 90.00 102.98 90.00
Space group P2/m (No. 10)
One atom of each set of equivalent atoms:
Ca 0.000 0.000 0.000 [1 per cell]
Be 0.500 0.000 0.500 [1 per cell]
Al 0.363 0.500 0.701 [2 per cell]

Summary:
Calculated volume in Å³ per cell: 76.0
Crystal system: monoclinic
Energy relative to the elements in eV per atom: 0.106
VASP energy in eV per atom: -3.47

***

# 7
A plane-wave DFT calculation with GGA-PBEsol was carried out for a relaxed CaBeAl2 crystal.

Lattice parameters (Å, degrees): 4.0418 4.0418 16.8051 90.00 90.00 120.00
Space group R-3m (No. 166, hexagonal axes)
One atom of each set of equivalent atoms:
Ca 0.0000 0.0000 0.0000 [3 per cell]
Be 0.0000 0.0000 0.5000 [3 per cell]
Al 0.0000 0.0000 0.2077 [6 per cell]

Summary:
Calculated volume in Å³ per cell: 237.8
Crystal system: trigonal
Energy relative to the elements in eV per atom: -0.039
VASP energy in eV per atom: -3.62

***

# 8
A plane-wave DFT calculation with GGA-PBEsol was carried out for a relaxed CaBeAl2 crystal.

Lattice parameters (Å, degrees): 5.749 9.053 2.829 90.00 90.00 90.00
Space group Cmmm (No. 65)
One atom of each set of equivalent atoms:
Ca 0.000 0.000 0.000 [2 per cell]
Be 0.000 0.500 0.000 [2 per cell]
Al 0.250 0.250 0.500 [4 per cell]

Summary:
Calculated volume in Å³ per cell: 147.2
Crystal system: orthorhombic
Energy relative to the elements in eV per atom: 0.328
VASP energy in eV per atom: -3.25

***

# 9
A plane-wave DFT calculation with GGA-PBEsol was carried out for a relaxed CaBeAl2 crystal.

Lattice parameters (Å, degrees): 3.1403 3.1403 26.6761 90.00 90.00 120.00
Space group R3m (No. 160, hexagonal axes)
One atom of each set of equivalent atoms:
Ca 0.0000 0.0000 0.0000 [3 per cell]
Be 0.0000 0.0000 0.2467 [3 per cell]
Al 0.0000 0.0000 0.5142 [3 per cell]
Al 0.0000 0.0000 0.7657 [3 per cell]

Summary:
Calculated volume in Å³ per cell: 227.8
Crystal system: trigonal
Energy relative to the elements in eV per atom: 0.410
VASP energy in eV per atom: -3.17

***

# 10
A plane-wave DFT calculation with GGA-PBEsol was carried out for a relaxed SrCaBeAl2 crystal.

Lattice parameters (Å, degrees): 5.471 5.471 5.077 90.00 90.00 90.00
Space group P4/mmm (No. 123)
One atom of each set of equivalent atoms:
Sr 0.000 0.000 0.000 [1 per cell]
Ca 0.500 0.500 0.500 [1 per cell]
Be 0.500 0.500 0.000 [1 per cell]
Al 0.000 0.500 0.500 [2 per cell]

Summary:
Calculated volume in Å³ per cell: 152.0
Crystal system: tetragonal
Energy relative to the elements in eV per atom: 0.897
VASP energy in eV per atom: -2.33

***

# 11
A plane-wave DFT calculation with GGA-PBEsol was carried out for a relaxed Be2AlCd crystal.

Lattice parameters (Å, degrees): 3.879 3.879 7.329 90.00 90.00 90.00
Space group I4/mmm (No. 139)
One atom of each set of equivalent atoms:
Be 0.000 0.500 0.250 [4 per cell]
Al 0.000 0.000 0.000 [2 per cell]
Cd 0.000 0.000 0.500 [2 per cell]

Summary:
Calculated volume in Å³ per cell: 110.3
Crystal system: tetragonal
Energy relative to the elements in eV per atom: 0.426
VASP energy in eV per atom: -2.90

***

# 12
A plane-wave DFT calculation with GGA-PBEsol was carried out for a relaxed Be4AlCd crystal.

Lattice parameters (Å, degrees): 6.460 6.460 6.460 90.00 90.00 90.00
Space group F-43m (No. 216)
One atom of each set of equivalent atoms:
Be 0.123 0.123 0.377 [16 per cell]
Al 0.250 0.250 0.750 [4 per cell]
Cd 0.000 0.000 0.000 [4 per cell]

Summary:
Calculated volume in Å³ per cell: 269.6
Crystal system: cubic
Energy relative to the elements in eV per atom: 0.211
VASP energy in eV per atom: -3.34

***

- The lowest calculated volume belongs to which entry?
  number 6

***

- Which of these has the lowest VASP energy?
  Sc2BeAlBr